Entry P
SmZnH, relaxed, DFT PBE-GGA; crystal system = tetragonal; magnetic moment = 0.00 μB per formula unit; density of states at the Fermi level = 2.997 states/eV/cell
1.0
3.6998 0.0000 0.0000
0.0000 3.6998 0.0000
0.0000 0.0000 8.1093
Sm Zn H
2 2 2
direct
0.2500 0.2500 0.1645 Sm
0.7500 0.7500 0.8355 Sm
0.2500 0.7500 0.5000 Zn
0.7500 0.2500 0.5000 Zn
0.2500 0.7500 0.0000 H
0.7500 0.2500 0.0000 H


Entry Q
SmZnH, relaxed, DFT PBE-GGA; crystal system = tetragonal; magnetic moment = 0.00 μB per formula unit; density of states at the Fermi level = 1.887 states/eV/cell
1.0
-1.7308 1.7308 4.7717
1.7308 -1.7308 4.7717
1.7308 1.7308 -4.7717
Sm Zn H
1 1 1
direct
0.0000 0.0000 0.0000 Sm
0.6921 0.6921 0.0000 Zn
0.4915 0.4915 0.0000 H


Result of the stability comparison: entry P is the most stable of them.


Entry P
Sm2ZrH, relaxed, DFT PBE-GGA; crystal system = tetragonal; magnetic moment = 0.00 μB per formula unit; density of states at the Fermi level = 3.036 states/eV/cell
1.0
3.3102 0.0000 0.0000
0.0000 3.3102 0.0000
0.0000 0.0000 8.1829
Sm Zr H
2 1 1
direct
0.0000 0.0000 0.2073 Sm
0.0000 0.0000 0.7927 Sm
0.5000 0.5000 0.5000 Zr
0.5000 0.5000 0.0000 H


Entry Q
Sm2ZrH, relaxed, DFT PBE-GGA; crystal system = trigonal; magnetic moment = 0.00 μB per formula unit; density of states at the Fermi level = 4.489 states/eV/cell
1.0
1.6661 0.9619 9.3647
-1.6661 0.9619 9.3647
0.0000 -1.9239 9.3647
Sm Zr H
2 1 1
direct
0.1132 0.1132 0.1132 Sm
0.8868 0.8868 0.8868 Sm
0.0000 0.0000 0.0000 Zr
0.5000 0.5000 0.5000 H


Result of the stability comparison: entry P is the most stable of them.


Entry P
Sr2SnH, relaxed, DFT PBE-GGA; crystal system = tetragonal; magnetic moment = 0.00 μB per formula unit; density of states at the Fermi level = 9.216 states/eV/cell
1.0
-3.8136 3.8136 4.0699
3.8136 -3.8136 4.0699
3.8136 3.8136 -4.0699
Sr Sn H
4 2 2
direct
0.0335 0.6250 0.9085 Sr
0.3750 0.2835 0.4085 Sr
0.7165 0.1250 0.0915 Sr
0.8750 0.9665 0.5915 Sr
0.2500 0.7500 0.5000 Sn
0.5000 0.5000 0.0000 Sn
0.0000 0.0000 0.0000 H
0.7500 0.2500 0.5000 H


Entry Q
Sr2SnH, relaxed, DFT PBE-GGA; crystal system = cubic; magnetic moment = 0.93 μB per formula unit; density of states at the Fermi level = 2.236 states/eV/cell
1.0
0.0000 3.9116 3.9116
3.9116 0.0000 3.9116
3.9116 3.9116 0.0000
Sr Sn H
2 1 1
direct
0.2500 0.2500 0.2500 Sr
0.7500 0.7500 0.7500 Sr
0.0000 0.0000 0.0000 Sn
0.5000 0.5000 0.5000 H


Result of the stability comparison: entry P is the most stable of them.


Entry P
Sr2SnH2, relaxed, DFT PBE-GGA; crystal system = tetragonal; magnetic moment = 0.00 μB per formula unit; density of states at the Fermi level = 0.314 states/eV/cell
1.0
-1.7528 1.7528 8.4360
1.7528 -1.7528 8.4360
1.7528 1.7528 -8.4360
Sr Sn H
2 1 2
direct
0.1490 0.1490 0.0000 Sr
0.8510 0.8510 0.0000 Sr
0.5000 0.5000 0.0000 Sn
0.2972 0.2972 0.0000 H
0.7028 0.7028 0.0000 H


Entry Q
Sr2SnH2, relaxed, DFT PBE-GGA; crystal system = tetragonal; magnetic moment = 0.00 μB per formula unit; density of states at the Fermi level = 0.980 states/eV/cell
1.0
3.7598 0.0000 0.0000
0.0000 3.7598 0.0000
0.0000 0.0000 8.0218
Sr Sn H
2 1 2
direct
0.0000 0.0000 0.2026 Sr
0.0000 0.0000 0.7974 Sr
0.5000 0.5000 0.5000 Sn
0.0000 0.5000 0.0000 H
0.5000 0.0000 0.0000 H


Result of the stability comparison: entry P is the most stable of them.


Entry P
Sr2SnH2, relaxed, DFT PBE-GGA; crystal system = tetragonal; magnetic moment = 0.00 μB per formula unit; density of states at the Fermi level = 1.949 states/eV/cell
1.0
8.0529 0.0000 0.0000
0.0000 8.0529 0.0000
0.0000 0.0000 3.3167
Sr Sn H
4 2 4
direct
0.1539 0.3461 0.0000 Sr
0.3461 0.8461 0.0000 Sr
0.6539 0.1539 0.0000 Sr
0.8461 0.6539 0.0000 Sr
0.0000 0.0000 0.5000 Sn
0.5000 0.5000 0.5000 Sn
0.0974 0.5974 0.5000 H
0.4026 0.0974 0.5000 H
0.5974 0.9026 0.5000 H
0.9026 0.4026 0.5000 H


Entry Q
Sr2SnH2, relaxed, DFT PBE-GGA; crystal system = tetragonal; magnetic moment = 0.00 μB per formula unit; density of states at the Fermi level = 0.953 states/eV/cell
1.0
-1.9462 1.9462 7.5880
1.9462 -1.9462 7.5880
1.9462 1.9462 -7.5880
Sr Sn H
2 1 2
direct
0.1548 0.1548 0.0000 Sr
0.8452 0.8452 0.0000 Sr
0.5000 0.5000 0.0000 Sn
0.2500 0.7500 0.5000 H
0.7500 0.2500 0.5000 H


Result of the stability comparison: entry Q is the most stable of them.


Entry P
Sr5Sn2H2, relaxed, DFT PBE-GGA; crystal system = monoclinic; magnetic moment = 0.00 μB per formula unit; density of states at the Fermi level = 1.149 states/eV/cell
1.0
6.6232 -2.7334 0.0000
6.6232 2.7334 0.0000
-1.6870 0.0000 7.4318
Sr Sn H
5 2 2
direct
0.0000 0.0000 0.0000 Sr
0.1479 0.1479 0.5360 Sr
0.3268 0.3268 0.1322 Sr
0.6732 0.6732 0.8678 Sr
0.8521 0.8521 0.4640 Sr
0.4032 0.4032 0.7184 Sn
0.5968 0.5968 0.2816 Sn
0.1606 0.1606 0.8784 H
0.8394 0.8394 0.1216 H


Entry Q
Sr5Sn2H2, relaxed, DFT PBE-GGA; crystal system = orthorhombic; magnetic moment = 0.00 μB per formula unit; density of states at the Fermi level = 1.848 states/eV/cell
1.0
-10.9789 3.6294 3.5925
10.9789 -3.6294 3.5925
10.9789 3.6294 -3.5925
Sr Sn H
10 4 4
direct
0.2269 0.4062 0.1043 Sr
0.2269 0.6226 0.3207 Sr
0.2489 0.0060 0.2548 Sr
0.2489 0.4940 0.7429 Sr
0.3019 0.1226 0.8957 Sr
0.3019 0.9062 0.6793 Sr
0.7470 0.6011 0.6459 Sr
0.7511 0.5060 0.2571 Sr
0.7511 0.9940 0.7452 Sr
0.9551 0.1011 0.3541 Sr
0.7441 0.1360 0.3901 Sn
0.7441 0.8540 0.1080 Sn
0.7459 0.3540 0.6099 Sn
0.7459 0.6360 0.8920 Sn
0.1201 0.9515 0.6687 H
0.2511 0.2511 0.0000 H
0.2511 0.7511 0.5000 H
0.2828 0.4515 0.3313 H


Result of the stability comparison: entry Q is the most stable of them.


Entry P
TaSnH2, relaxed, DFT PBE-GGA; crystal system = tetragonal; magnetic moment = 0.00 μB per formula unit; density of states at the Fermi level = 3.788 states/eV/cell
1.0
-2.9410 2.9410 2.8761
2.9410 -2.9410 2.8761
2.9410 2.9410 -2.8761
Ta Sn H
2 2 4
direct
0.0000 0.0000 0.0000 Ta
0.7500 0.2500 0.5000 Ta
0.2500 0.7500 0.5000 Sn
0.5000 0.5000 0.0000 Sn
0.0280 0.6250 0.9030 H
0.3750 0.2780 0.4030 H
0.7220 0.1250 0.0970 H
0.8750 0.9720 0.5970 H


Entry Q
TaSnH2, relaxed, DFT PBE-GGA; crystal system = cubic; magnetic moment = 0.00 μB per formula unit; density of states at the Fermi level = 3.586 states/eV/cell
1.0
0.0000 2.8906 2.8906
2.8906 0.0000 2.8906
2.8906 2.8906 0.0000
Ta Sn H
1 1 2
direct
0.0000 0.0000 0.0000 Ta
0.5000 0.5000 0.5000 Sn
0.2500 0.2500 0.2500 H
0.7500 0.7500 0.7500 H


Entry R
TaSnH2, relaxed, DFT PBE-GGA; crystal system = trigonal; magnetic moment = 0.00 μB per formula unit; density of states at the Fermi level = 1.896 states/eV/cell
1.0
1.6375 0.9454 5.2253
-1.6375 0.9454 5.2253
0.0000 -1.8908 5.2253
Ta Sn H
1 1 2
direct
0.0000 0.0000 0.0000 Ta
0.8119 0.8119 0.8119 Sn
0.3063 0.3063 0.3063 H
0.6205 0.6205 0.6205 H


Result of the stability comparison: entry R is the most stable of them.


Entry P
TaSn2H2, relaxed, DFT PBE-GGA; crystal system = tetragonal; magnetic moment = 0.00 μB per formula unit; density of states at the Fermi level = 4.589 states/eV/cell
1.0
6.7595 0.0000 0.0000
0.0000 6.7595 0.0000
0.0000 0.0000 3.1525
Ta Sn H
2 4 4
direct
0.0000 0.0000 0.0000 Ta
0.5000 0.5000 0.0000 Ta
0.1504 0.3496 0.5000 Sn
0.3496 0.8496 0.5000 Sn
0.6504 0.1504 0.5000 Sn
0.8496 0.6504 0.5000 Sn
0.1937 0.6937 0.0000 H
0.3063 0.1937 0.0000 H
0.6937 0.8063 0.0000 H
0.8063 0.3063 0.0000 H


Entry Q
TaSn2H2, relaxed, DFT PBE-GGA; crystal system = tetragonal; magnetic moment = 0.00 μB per formula unit; density of states at the Fermi level = 3.373 states/eV/cell
1.0
-2.6006 2.6006 2.9468
2.6006 -2.6006 2.9468
2.6006 2.6006 -2.9468
Ta Sn H
1 2 2
direct
0.0000 0.0000 0.0000 Ta
0.2500 0.7500 0.5000 Sn
0.7500 0.2500 0.5000 Sn
0.4297 0.4297 0.0000 H
0.5703 0.5703 0.0000 H


Result of the stability comparison: entry Q is the most stable of them.


Entry P
TaSnH, relaxed, DFT PBE-GGA; crystal system = tetragonal; magnetic moment = 0.00 μB per formula unit; density of states at the Fermi level = 19.879 states/eV/cell
1.0
-7.2304 7.2304 3.8889
7.2304 -7.2304 3.8889
7.2304 7.2304 -3.8889
Ta Sn H
16 16 16
direct
0.1033 0.3806 0.3979 Ta
0.1194 0.0174 0.7227 Ta
0.1735 0.8530 0.8794 Ta
0.2054 0.6033 0.2227 Ta
0.2059 0.3265 0.1795 Ta
0.3530 0.9736 0.6795 Ta
0.4736 0.2941 0.6206 Ta
0.4826 0.7054 0.1021 Ta
0.5174 0.2946 0.8979 Ta
0.5264 0.7059 0.3794 Ta
0.6470 0.0264 0.3205 Ta
0.7941 0.6735 0.8205 Ta
0.7946 0.3967 0.7773 Ta
0.8265 0.1470 0.1206 Ta
0.8806 0.9826 0.2773 Ta
0.8967 0.6194 0.6021 Ta
0.0535 0.6293 0.4148 Sn
0.1181 0.0013 0.0945 Sn
0.1293 0.2146 0.5758 Sn
0.1387 0.5535 0.9242 Sn
0.2854 0.3613 0.9148 Sn
0.4067 0.0235 0.4055 Sn
0.4765 0.3819 0.3832 Sn
0.4987 0.0933 0.1168 Sn
0.5013 0.9067 0.8832 Sn
0.5235 0.6181 0.6168 Sn
0.5933 0.9765 0.5945 Sn
0.7146 0.6387 0.0852 Sn
0.8613 0.4465 0.0758 Sn
0.8707 0.7854 0.4242 Sn
0.8819 0.9987 0.9055 Sn
0.9465 0.3707 0.5852 Sn
0.0753 0.3653 0.0948 H
0.1347 0.7296 0.7100 H
0.1524 0.2502 0.3341 H
0.2296 0.0196 0.5948 H
0.2498 0.0839 0.9023 H
0.3183 0.6524 0.4023 H
0.4161 0.8183 0.1659 H
0.4804 0.5753 0.2100 H
0.5196 0.4247 0.7900 H
0.5839 0.1817 0.8341 H
0.6817 0.3476 0.5977 H
0.7502 0.9161 0.0977 H
0.7704 0.9804 0.4052 H
0.8476 0.7498 0.6659 H
0.8653 0.2704 0.2900 H
0.9247 0.6347 0.9052 H


Entry Q
TaSnH, relaxed, DFT PBE-GGA; crystal system = hexagonal; magnetic moment = 0.00 μB per formula unit; density of states at the Fermi level = 0.683 states/eV/cell
1.0
3.4978 0.0000 0.0000
-1.7489 3.0292 0.0000
0.0000 0.0000 4.1014
Ta Sn H
1 1 1
direct
0.0000 0.0000 0.0000 Ta
0.3333 0.6667 0.5000 Sn
0.6667 0.3333 0.0000 H


Result of the stability comparison: entry Q is the most stable of them.


Entry P
TbSnH, relaxed, DFT PBE-GGA; crystal system = triclinic; magnetic moment = 0.00 μB per formula unit; density of states at the Fermi level = 1.364 states/eV/cell
1.0
3.6285 0.0000 0.0000
1.8054 6.0317 0.0000
1.8124 2.6533 5.4846
Tb Sn H
2 2 2
direct
0.2068 0.3204 0.2650 Tb
0.7932 0.6796 0.7350 Tb
0.4809 0.7880 0.2501 Sn
0.5191 0.2120 0.7499 Sn
0.2125 0.6497 0.9261 H
0.7875 0.3503 0.0739 H


Entry Q
TbSnH, relaxed, DFT PBE-GGA; crystal system = hexagonal; magnetic moment = 0.00 μB per formula unit; density of states at the Fermi level = 0.638 states/eV/cell
1.0
3.6542 0.0000 0.0000
-1.8271 3.1647 0.0000
0.0000 0.0000 5.1059
Tb Sn H
1 1 1
direct
0.0000 0.0000 0.0000 Tb
0.6667 0.3333 0.5000 Sn
0.3333 0.6667 0.0000 H


Entry R
TbSnH, relaxed, DFT PBE-GGA; crystal system = tetragonal; magnetic moment = 0.05 μB per formula unit; density of states at the Fermi level = 1.753 states/eV/cell
1.0
-1.6164 1.6164 5.6632
1.6164 -1.6164 5.6632
1.6164 1.6164 -5.6632
Tb Sn H
1 1 1
direct
0.0000 0.0000 0.0000 Tb
0.2819 0.2819 0.0000 Sn
0.5447 0.5447 0.0000 H


Entry S
TbSnH, relaxed, DFT PBE-GGA; crystal system = monoclinic; magnetic moment = 0.00 μB per formula unit; density of states at the Fermi level = 1.293 states/eV/cell
1.0
5.9818 -1.8706 0.0000
5.9818 1.8706 0.0000
-0.1013 0.0000 5.2072
Tb Sn H
2 2 2
direct
0.1477 0.1477 0.3120 Tb
0.8523 0.8523 0.6880 Tb
0.4170 0.4170 0.1917 Sn
0.5830 0.5830 0.8083 Sn
0.2666 0.2666 0.6292 H
0.7334 0.7334 0.3708 H


Result of the stability comparison: entry Q is the most stable of them.


Entry P
Tb2SnH, relaxed, DFT PBE-GGA; crystal system = trigonal; magnetic moment = 0.00 μB per formula unit; density of states at the Fermi level = 2.846 states/eV/cell
1.0
1.7736 1.0240 7.9445
-1.7736 1.0240 7.9445
0.0000 -2.0480 7.9445
Tb Sn H
2 1 1
direct
0.2253 0.2253 0.2253 Tb
0.7747 0.7747 0.7747 Tb
0.0000 0.0000 0.0000 Sn
0.5000 0.5000 0.5000 H


Entry Q
Tb2SnH, relaxed, DFT PBE-GGA; crystal system = tetragonal; magnetic moment = 0.00 μB per formula unit; density of states at the Fermi level = 4.548 states/eV/cell
1.0
4.5276 0.0000 0.0000
0.0000 4.5276 0.0000
0.0000 0.0000 8.5400
Tb Sn H
4 2 2
direct
0.2500 0.2500 0.1504 Tb
0.2500 0.7500 0.5000 Tb
0.7500 0.2500 0.5000 Tb
0.7500 0.7500 0.8496 Tb
0.2500 0.2500 0.7812 Sn
0.7500 0.7500 0.2188 Sn
0.2500 0.2500 0.4193 H
0.7500 0.7500 0.5807 H


Result of the stability comparison: entry Q is the most stable of them.